VASP calculation (GGA+U) on a relaxed Y2V2O7 crystal.

Values from the calculation:
Total energy: -8.4499 eV/atom
Polymorph energy (0 for the lowest one): 0.00 kJ/mol of atoms
Space group: No. 227
Spin magnetization: 2.000 μB per formula unit

Cell lengths 7.164, 7.164, 7.164 Å; angles 60.00, 60.00, 60.00 degrees
Fractional coordinates of all 22 atoms:
Y 0.000 0.000 0.000
Y 0.000 0.000 0.500
Y 0.000 0.500 0.000
Y 0.500 0.000 0.000
V 0.000 0.500 0.500
V 0.500 0.000 0.500
V 0.500 0.500 0.000
V 0.500 0.500 0.500
O 0.125 0.125 0.125
O 0.169 0.169 0.581
O 0.169 0.581 0.169
O 0.169 0.581 0.581
O 0.419 0.419 0.831
O 0.419 0.831 0.419
O 0.419 0.831 0.831
O 0.581 0.169 0.169
O 0.581 0.169 0.581
O 0.581 0.581 0.169
O 0.831 0.419 0.419
O 0.831 0.419 0.831
O 0.831 0.831 0.419
O 0.875 0.875 0.875